An optimized crystal structure of RbNdSe2, computed with PBE-GGA.

Cell lengths 8.544, 8.544, 8.544 Å; angles 29.54, 29.54, 29.54 degrees
Element x y z (fractional)
Rb 0.000 0.000 0.000
Nd 0.169 0.169 0.169
Se 0.569 0.569 0.569
Se 0.769 0.769 0.769

Electronic total energy ... -4.889 eV/atom
Space group ... R3m, No. 160
M_tot ... 0.0 μB/cell

---

An optimized crystal structure of RbNd2Se3, computed with PBE-GGA.

Cell lengths 4.299, 4.299, 23.117 Å; angles 90.00, 90.00, 120.00 degrees
Element x y z (fractional)
Rb 0.000 0.000 0.250
Rb 0.000 0.000 0.750
Nd 0.333 0.667 0.075
Nd 0.333 0.667 0.425
Nd 0.667 0.333 0.575
Nd 0.667 0.333 0.925
Se 0.000 0.000 0.000
Se 0.000 0.000 0.500
Se 0.333 0.667 0.646
Se 0.333 0.667 0.854
Se 0.667 0.333 0.146
Se 0.667 0.333 0.354

Electronic total energy ... -5.256 eV/atom
Space group ... P6_3/mmc, No. 194
M_tot ... 0.0 μB/cell

---

An optimized crystal structure of Rb3Nd2SmSe6, computed with PBE-GGA.

Cell lengths 7.554, 7.554, 8.410 Å; angles 98.62, 98.62, 119.99 degrees
Element x y z (fractional)
Rb 0.000 0.000 0.000
Rb 0.333 0.667 0.000
Rb 0.667 0.333 0.000
Nd 0.167 0.833 0.500
Nd 0.833 0.167 0.500
Sm 0.500 0.500 0.500
Se 0.103 0.433 0.300
Se 0.236 0.236 0.700
Se 0.433 0.103 0.300
Se 0.567 0.897 0.700
Se 0.764 0.764 0.300
Se 0.897 0.567 0.700

Electronic total energy ... -4.908 eV/atom
Space group ... C2/m, No. 12
M_tot ... 0.0 μB/cell

---

An optimized crystal structure of RbNdSm4Se8, computed with PBE-GGA.

Cell lengths 8.846, 8.846, 8.846 Å; angles 59.61, 59.61, 59.61 degrees
Element x y z (fractional)
Rb 0.000 0.000 0.000
Nd 0.368 0.368 0.368
Sm 0.369 0.369 0.886
Sm 0.369 0.886 0.369
Sm 0.748 0.748 0.748
Sm 0.886 0.369 0.369
Se 0.138 0.138 0.572
Se 0.138 0.572 0.138
Se 0.141 0.141 0.141
Se 0.144 0.617 0.617
Se 0.572 0.138 0.138
Se 0.616 0.616 0.616
Se 0.617 0.144 0.617
Se 0.617 0.617 0.144

Electronic total energy ... -5.479 eV/atom
Space group ... R3m, No. 160
M_tot ... 0.0 μB/cell

---

An optimized crystal structure of Rb3NdSm2Se6, computed with PBE-GGA.

Cell lengths 7.524, 7.524, 8.403 Å; angles 98.58, 98.58, 120.00 degrees
Element x y z (fractional)
Rb 0.000 0.000 0.000
Rb 0.334 0.666 0.000
Rb 0.666 0.334 0.000
Nd 0.500 0.500 0.500
Sm 0.167 0.833 0.500
Sm 0.833 0.167 0.500
Se 0.097 0.433 0.300
Se 0.230 0.230 0.700
Se 0.433 0.097 0.300
Se 0.567 0.903 0.700
Se 0.770 0.770 0.300
Se 0.903 0.567 0.700

Electronic total energy ... -4.905 eV/atom
Space group ... C2/m, No. 12
M_tot ... 0.0 μB/cell

---

An optimized crystal structure of RbNdSnSe3, computed with PBE-GGA.

Cell lengths 8.954, 4.290, 11.800 Å; angles 90.00, 107.71, 90.00 degrees
Element x y z (fractional)
Rb 0.228 0.250 0.263
Rb 0.772 0.750 0.737
Nd 0.358 0.750 0.850
Nd 0.642 0.250 0.150
Sn 0.143 0.250 0.565
Sn 0.857 0.750 0.435
Se 0.108 0.250 0.783
Se 0.350 0.750 0.592
Se 0.405 0.750 0.107
Se 0.595 0.250 0.893
Se 0.650 0.250 0.408
Se 0.892 0.750 0.217

Electronic total energy ... -4.650 eV/atom
Space group ... P2_1/m, No. 11
M_tot ... 0.0 μB/cell